# 1
The following is a PBE calculation of a relaxed CaBHPt6 crystal, from Alexandria via LeMat-Bulk.

Values from the calculation:
Its volume is 16.31 A^3/atom. For the raw total energy, the calculation gives -5.6264 eV per atom. As for the total magnetization: 0.0 μB/f.u.

The structure in POSCAR format:
```
CaBHPt6
1.0
-3.249 5.709 3.730
-0.539 -4.210 5.974
6.667 0.918 -3.246
Ca B H Pt
2 2 2 12
Direct
0.899 0.649 0.798
0.101 0.351 0.202
0.500 0.500 0.000
0.500 0.000 0.000
0.500 0.000 0.500
0.000 0.000 0.500
0.399 0.649 0.799
0.801 0.051 0.601
0.839 0.075 0.246
0.406 0.671 0.246
0.406 0.075 0.246
0.839 0.671 0.246
0.601 0.351 0.201
0.199 0.949 0.399
0.161 0.925 0.754
0.594 0.329 0.754
0.594 0.925 0.754
0.161 0.329 0.754
```


# 2
The following is a PBE calculation of a relaxed PmYGaAu crystal, from Alexandria via LeMat-Bulk.

Values from the calculation:
Its volume is 24.53 A^3/atom. The value obtained for the polymorph energy (0 for the lowest one) is 0.032 eV/atom. The formation energy from the elements is -259 kJ/mol of formula units. As for the total magnetization: 0.0 μB/f.u.

The structure in POSCAR format:
```
PmYGaAu
1.0
-0.331 -4.858 1.757
1.841 -1.187 4.690
-3.267 -1.144 3.850
Y Au Ga Pm
1 1 1 1
Direct
0.750 0.750 0.750
0.000 0.000 0.000
0.500 0.500 0.500
0.250 0.250 0.250
```


# 3
The following is a PBE calculation of a relaxed ReIr6Rh12 crystal, from Alexandria via LeMat-Bulk.

Values from the calculation:
Its volume is 14.94 A^3/atom. The formation energy from the elements is 287 kJ/mol of formula units. As for the total magnetization: 0.0 μB/f.u.

The structure in POSCAR format:
```
ReIr6Rh12
1.0
6.533 0.455 0.545
-0.540 6.527 0.545
-0.540 -0.630 6.519
Re Ir Rh
1 6 12
Direct
0.000 0.000 0.000
0.884 0.741 0.279
0.721 0.116 0.259
0.259 0.721 0.116
0.116 0.259 0.721
0.279 0.884 0.741
0.741 0.279 0.884
0.801 0.433 0.521
0.521 0.801 0.433
0.433 0.521 0.801
0.199 0.567 0.479
0.479 0.199 0.567
0.567 0.479 0.199
0.158 0.039 0.373
0.961 0.627 0.842
0.627 0.842 0.961
0.842 0.961 0.627
0.039 0.373 0.158
0.373 0.158 0.039
```


# 4
The following is a PBE calculation of a relaxed CeY2MnN4 crystal, from Alexandria via LeMat-Bulk.

Values from the calculation:
The uncorrected formation energy is -1.2066 eV per atom. Its volume is 14.15 A^3/atom. As for the total magnetization: 3.6 μB/f.u.

The structure in POSCAR format:
```
CeY2MnN4
1.0
3.388 0.000 0.000
-1.694 5.705 0.000
0.000 0.000 11.710
Ce Y Mn N
2 4 2 8
Direct
0.103 0.207 0.750
0.897 0.793 0.250
0.370 0.739 0.547
0.630 0.261 0.047
0.630 0.261 0.453
0.370 0.739 0.953
0.837 0.674 0.750
0.163 0.326 0.250
0.271 0.543 0.130
0.729 0.457 0.630
0.729 0.457 0.870
0.271 0.543 0.370
0.000 0.000 0.500
0.000 0.000 0.000
0.435 0.869 0.750
0.565 0.131 0.250
```


# 5
The following is a PBE calculation of a relaxed ErThSe2 crystal, from Alexandria via LeMat-Bulk.

Values from the calculation:
The uncorrected formation energy is -1.3833 eV per atom. Its volume is 23.11 A^3/atom. The value obtained for the polymorph energy (0 for the lowest one) is 0.235 eV/atom. As for the total magnetization: 0.0 μB/f.u.

The structure in POSCAR format:
```
ErThSe2
1.0
-1.412 -0.138 -4.873
-2.589 -3.986 -1.780
-4.896 0.502 -1.239
Se Th Er
2 1 1
Direct
0.250 0.250 0.250
0.750 0.750 0.750
0.000 0.000 0.000
0.500 0.500 0.500
```


# 6
The following is a PBE calculation of a relaxed SrMg2NiAg crystal, from Alexandria via LeMat-Bulk.

Values from the calculation:
Its volume is 24.33 A^3/atom. The formation energy from the elements is -19 kJ/mol of formula units. As for the total magnetization: 0.0 μB/f.u.

The structure in POSCAR format:
```
SrMg2NiAg
1.0
4.842 0.000 0.000
0.000 4.842 0.000
0.000 0.000 5.189
Sr Mg Ag Ni
1 2 1 1
Direct
0.500 0.500 0.500
0.000 0.500 0.000
0.500 0.000 0.000
0.000 0.000 0.500
0.000 0.000 0.000
```


# 7
The following is a PBE calculation of a relaxed BaPrTm4S8 crystal, from Alexandria via LeMat-Bulk.

Values from the calculation:
The uncorrected formation energy is -1.9411 eV per atom. Its volume is 28.08 A^3/atom. As for the total magnetization: 0.0 μB/f.u.

The structure in POSCAR format:
```
BaPrTm4S8
1.0
-0.190 0.744 8.114
1.586 -6.451 4.722
7.101 -0.267 4.284
Ba Pr Tm S
1 1 4 8
Direct
0.372 0.372 0.885
0.002 0.002 0.994
0.625 0.625 0.124
0.002 0.495 0.502
0.495 0.002 0.502
0.002 0.002 0.502
0.241 0.802 0.716
0.802 0.241 0.716
0.241 0.241 0.716
0.230 0.230 0.309
0.749 0.233 0.269
0.233 0.749 0.269
0.749 0.749 0.269
0.757 0.757 0.728
```


# 8
The following is a PBE calculation of a relaxed Ba6Na15Hg8 crystal, from Alexandria via LeMat-Bulk.

Values from the calculation:
Its volume is 36.90 A^3/atom. The formation energy from the elements is -596 kJ/mol of formula units. As for the total magnetization: 0.0 μB/f.u.

The structure in POSCAR format:
```
Ba6Na15Hg8
1.0
9.943 0.000 5.740
3.314 9.374 5.740
0.000 0.000 11.481
Ba Na Hg
6 15 8
Direct
0.756 0.756 0.244
0.244 0.244 0.756
0.756 0.244 0.244
0.244 0.756 0.756
0.756 0.244 0.756
0.244 0.756 0.244
0.014 0.329 0.329
0.986 0.671 0.671
0.329 0.329 0.014
0.329 0.329 0.329
0.671 0.671 0.986
0.671 0.671 0.671
0.329 0.014 0.329
0.671 0.986 0.671
0.500 0.500 0.000
0.000 0.000 0.500
0.500 0.000 0.000
0.000 0.500 0.500
0.500 0.000 0.500
0.000 0.500 0.000
0.000 0.000 0.000
0.599 0.134 0.134
0.401 0.866 0.866
0.134 0.134 0.599
0.134 0.134 0.134
0.866 0.866 0.401
0.866 0.866 0.866
0.134 0.599 0.134
0.866 0.401 0.866
```